(w)
VASP calculation (GGA-PBE) on crystalline Ba2MnRu at its relaxed geometry.

Cell lengths 3.630, 3.630, 9.427 Å; angles 90.00, 90.00, 90.00 degrees
Space group P4mm (No. 99)
One atom of each set of equivalent atoms:
Ba1 0.000 0.000 0.000
Ba2 0.500 0.500 0.429
Mn1 0.000 0.000 0.676
Ru1 0.500 0.500 0.747

Output
The calculation puts the spin magnetization at 4.1 μB/f.u. For the calculated volume, the calculation gives 31.1 Å³/atom. Its crystal system is tetragonal.



(x)
VASP calculation (GGA-PBE) on crystalline Ba2MnRu at its relaxed geometry.

Cell lengths 4.311, 4.954, 12.372 Å; angles 90.00, 90.00, 90.00 degrees
Space group Amm2 (No. 38)
One atom of each set of equivalent atoms:
Ba1 0.000 0.000 0.000
Ba2 0.500 0.000 0.279
Mn1 0.000 0.000 0.686
Ru1 0.500 0.000 0.599

Output
The calculation puts the spin magnetization at 4.2 μB/f.u. For the calculated volume, the calculation gives 33.0 Å³/atom. Its crystal system is orthorhombic.



Stability summary - winner: (x); margin: 73 meV/atom.